# 1
{
  "formula": "NdZn11Rh",
  "functional": "PBE-GGA",
  "state": "optimized geometry",
  "crystal_system": "monoclinic",
  "e_form_mev_per_atom": -255,
  "total_energy_ev_per_fu": -29.45,
  "cell": [[2.551, -6.412, 0.000], [2.551, 6.412, 0.000], [-2.532, 0.000, 6.393]],
  "species": ["Nd", "Zn", "Zn", "Zn", "Zn", "Zn", "Zn", "Zn", "Zn", "Zn", "Zn", "Zn", "Rh"],
  "frac_coords": [[0.000, 0.000, 0.000], [0.000, 0.500, 0.000], [0.011, 0.662, 0.642], [0.278, 0.499, 0.779], [0.338, 0.989, 0.358], [0.499, 0.278, 0.779], [0.500, 0.000, 0.000], [0.500, 0.500, 0.500], [0.501, 0.722, 0.221], [0.662, 0.011, 0.642], [0.722, 0.501, 0.221], [0.989, 0.338, 0.358], [0.000, 0.000, 0.500]]
}

=====

# 2
{
  "formula": "Nd2Zn3Rh2",
  "functional": "PBE-GGA",
  "state": "optimized geometry",
  "crystal_system": "monoclinic",
  "e_form_mev_per_atom": -580,
  "total_energy_ev_per_fu": -32.12,
  "cell": [[10.013, 0.000, 0.000], [0.000, 4.143, 0.000], [-2.804, 0.000, 6.689]],
  "species": ["Nd", "Nd", "Nd", "Nd", "Zn", "Zn", "Zn", "Zn", "Zn", "Zn", "Rh", "Rh", "Rh", "Rh"],
  "frac_coords": [[0.142, 0.000, 0.266], [0.358, 0.500, 0.734], [0.642, 0.500, 0.266], [0.858, 0.000, 0.734], [0.000, 0.500, 0.500], [0.141, 0.500, 0.941], [0.359, 0.000, 0.059], [0.500, 0.000, 0.500], [0.641, 0.000, 0.941], [0.859, 0.500, 0.059], [0.136, 0.000, 0.695], [0.364, 0.500, 0.305], [0.636, 0.500, 0.695], [0.864, 0.000, 0.305]]
}

=====

# 3
{
  "formula": "NdZn5Rh2",
  "functional": "PBE-GGA",
  "state": "optimized geometry",
  "crystal_system": "orthorhombic",
  "e_form_mev_per_atom": -374,
  "total_energy_ev_per_fu": -28.83,
  "cell": [[3.964, 0.000, 0.000], [0.000, 7.564, 0.000], [0.000, 0.000, 9.465]],
  "species": ["Nd", "Nd", "Zn", "Zn", "Zn", "Zn", "Zn", "Zn", "Zn", "Zn", "Zn", "Zn", "Rh", "Rh", "Rh", "Rh"],
  "frac_coords": [[0.000, 0.000, 0.000], [0.500, 0.500, 0.500], [0.000, 0.182, 0.347], [0.000, 0.182, 0.653], [0.000, 0.500, 0.000], [0.000, 0.818, 0.347], [0.000, 0.818, 0.653], [0.500, 0.000, 0.500], [0.500, 0.318, 0.153], [0.500, 0.318, 0.847], [0.500, 0.682, 0.153], [0.500, 0.682, 0.847], [0.000, 0.500, 0.263], [0.000, 0.500, 0.737], [0.500, 0.000, 0.237], [0.500, 0.000, 0.763]]
}

=====

# 4
{
  "formula": "NdZn8Rh2",
  "functional": "PBE-GGA",
  "state": "optimized geometry",
  "crystal_system": "monoclinic",
  "e_form_mev_per_atom": -166,
  "total_energy_ev_per_fu": -31.49,
  "cell": [[3.575, -5.781, 0.000], [3.575, 5.781, 0.000], [-1.974, 0.000, 4.637]],
  "species": ["Nd", "Zn", "Zn", "Zn", "Zn", "Zn", "Zn", "Zn", "Zn", "Rh", "Rh"],
  "frac_coords": [[0.000, 0.000, 0.000], [0.089, 0.323, 0.618], [0.266, 0.734, 0.000], [0.323, 0.089, 0.618], [0.453, 0.453, 0.226], [0.547, 0.547, 0.774], [0.677, 0.911, 0.382], [0.734, 0.266, 0.000], [0.911, 0.677, 0.382], [0.300, 0.700, 0.500], [0.700, 0.300, 0.500]]
}

=====

# 5
{
  "formula": "Nd6ZnRh3",
  "functional": "PBE-GGA",
  "state": "optimized geometry",
  "crystal_system": "monoclinic",
  "e_form_mev_per_atom": -452,
  "total_energy_ev_per_fu": -56.46,
  "cell": [[10.872, 0.000, 0.000], [0.000, 4.371, 0.000], [-4.470, 0.000, 11.649]],
  "species": ["Nd", "Nd", "Nd", "Nd", "Nd", "Nd", "Nd", "Nd", "Nd", "Nd", "Nd", "Nd", "Zn", "Zn", "Rh", "Rh", "Rh", "Rh", "Rh", "Rh"],
  "frac_coords": [[0.023, 0.250, 0.389], [0.088, 0.250, 0.926], [0.238, 0.750, 0.308], [0.333, 0.750, 0.798], [0.370, 0.750, 0.098], [0.380, 0.250, 0.565], [0.620, 0.750, 0.435], [0.630, 0.250, 0.902], [0.667, 0.250, 0.202], [0.762, 0.250, 0.692], [0.912, 0.750, 0.074], [0.977, 0.750, 0.611], [0.426, 0.250, 0.293], [0.574, 0.750, 0.707], [0.093, 0.250, 0.173], [0.191, 0.750, 0.523], [0.390, 0.250, 0.956], [0.610, 0.750, 0.044], [0.809, 0.250, 0.477], [0.907, 0.750, 0.827]]
}

=====

# 6
{
  "formula": "NdZn8Rh4",
  "functional": "PBE-GGA",
  "state": "optimized geometry",
  "crystal_system": "tetragonal",
  "e_form_mev_per_atom": -419,
  "total_energy_ev_per_fu": -49.81,
  "cell": [[-4.309, 4.309, 2.812], [4.309, -4.309, 2.812], [4.309, 4.309, -2.812]],
  "species": ["Nd", "Zn", "Zn", "Zn", "Zn", "Zn", "Zn", "Zn", "Zn", "Rh", "Rh", "Rh", "Rh"],
  "frac_coords": [[0.000, 0.000, 0.000], [0.000, 0.343, 0.343], [0.000, 0.657, 0.657], [0.274, 0.500, 0.774], [0.343, 0.000, 0.343], [0.500, 0.274, 0.774], [0.500, 0.726, 0.226], [0.657, 0.000, 0.657], [0.726, 0.500, 0.226], [0.000, 0.000, 0.500], [0.000, 0.500, 0.000], [0.500, 0.000, 0.000], [0.500, 0.500, 0.500]]
}

=====

# 7
{
  "formula": "Nd3ZnRh2",
  "functional": "PBE-GGA",
  "state": "optimized geometry",
  "crystal_system": "orthorhombic",
  "e_form_mev_per_atom": -575,
  "total_energy_ev_per_fu": -33.73,
  "cell": [[12.050, 0.000, 0.000], [0.000, 4.054, 0.000], [0.000, 0.000, 11.991]],
  "species": ["Nd", "Nd", "Nd", "Nd", "Nd", "Nd", "Nd", "Nd", "Nd", "Nd", "Nd", "Nd", "Zn", "Zn", "Zn", "Zn", "Rh", "Rh", "Rh", "Rh", "Rh", "Rh", "Rh", "Rh"],
  "frac_coords": [[0.057, 0.250, 0.125], [0.131, 0.750, 0.574], [0.202, 0.250, 0.821], [0.298, 0.750, 0.321], [0.369, 0.250, 0.074], [0.443, 0.750, 0.625], [0.557, 0.250, 0.375], [0.631, 0.750, 0.926], [0.702, 0.250, 0.679], [0.798, 0.750, 0.179], [0.869, 0.250, 0.426], [0.943, 0.750, 0.875], [0.121, 0.250, 0.378], [0.379, 0.750, 0.878], [0.621, 0.250, 0.122], [0.879, 0.750, 0.622], [0.009, 0.750, 0.307], [0.186, 0.750, 0.991], [0.314, 0.250, 0.491], [0.491, 0.250, 0.807], [0.509, 0.750, 0.193], [0.686, 0.750, 0.509], [0.814, 0.250, 0.009], [0.991, 0.250, 0.693]]
}

=====

# 8
{
  "formula": "Nd4ZnRh3",
  "functional": "PBE-GGA",
  "state": "optimized geometry",
  "crystal_system": "orthorhombic",
  "e_form_mev_per_atom": -607,
  "total_energy_ev_per_fu": -47.26,
  "cell": [[3.924, 0.000, 0.000], [0.000, 4.456, 0.000], [0.000, 0.000, 10.902]],
  "species": ["Nd", "Nd", "Nd", "Nd", "Zn", "Rh", "Rh", "Rh"],
  "frac_coords": [[0.000, 0.000, 0.000], [0.000, 0.500, 0.267], [0.500, 0.000, 0.481], [0.500, 0.500, 0.772], [0.000, 0.000, 0.699], [0.000, 0.500, 0.563], [0.500, 0.000, 0.219], [0.500, 0.500, 0.040]]
}

=====

# 9
{
  "formula": "Nd12Zn6Rh",
  "functional": "PBE-GGA",
  "state": "optimized geometry",
  "crystal_system": "trigonal",
  "e_form_mev_per_atom": -132,
  "total_energy_ev_per_fu": -74.72,
  "cell": [[6.024, 3.478, 4.450], [-6.024, 3.478, 4.450], [0.000, -6.955, 4.450]],
  "species": ["Nd", "Nd", "Nd", "Nd", "Nd", "Nd", "Nd", "Nd", "Nd", "Nd", "Nd", "Nd", "Zn", "Zn", "Zn", "Zn", "Zn", "Zn", "Rh"],
  "frac_coords": [[0.044, 0.696, 0.929], [0.071, 0.956, 0.304], [0.176, 0.535, 0.412], [0.304, 0.071, 0.956], [0.412, 0.176, 0.535], [0.465, 0.588, 0.824], [0.535, 0.412, 0.176], [0.588, 0.824, 0.465], [0.696, 0.929, 0.044], [0.824, 0.465, 0.588], [0.929, 0.044, 0.696], [0.956, 0.304, 0.071], [0.156, 0.353, 0.760], [0.240, 0.844, 0.647], [0.353, 0.760, 0.156], [0.647, 0.240, 0.844], [0.760, 0.156, 0.353], [0.844, 0.647, 0.240], [0.500, 0.500, 0.500]]
}

=====

# 10
{
  "formula": "NdZn2Rh",
  "functional": "PBE-GGA",
  "state": "optimized geometry",
  "crystal_system": "orthorhombic",
  "e_form_mev_per_atom": -528,
  "total_energy_ev_per_fu": -16.78,
  "cell": [[15.307, 0.000, 0.000], [0.000, 7.356, 0.000], [0.000, 0.000, 5.504]],
  "species": ["Nd", "Nd", "Nd", "Nd", "Nd", "Nd", "Nd", "Nd", "Zn", "Zn", "Zn", "Zn", "Zn", "Zn", "Zn", "Zn", "Zn", "Zn", "Zn", "Zn", "Zn", "Zn", "Zn", "Zn", "Rh", "Rh", "Rh", "Rh", "Rh", "Rh", "Rh", "Rh"],
  "frac_coords": [[0.101, 0.250, 0.230], [0.141, 0.750, 0.451], [0.359, 0.250, 0.951], [0.399, 0.750, 0.730], [0.601, 0.250, 0.270], [0.641, 0.750, 0.049], [0.859, 0.250, 0.549], [0.899, 0.750, 0.770], [0.042, 0.060, 0.743], [0.042, 0.440, 0.743], [0.208, 0.550, 0.927], [0.208, 0.950, 0.927], [0.292, 0.050, 0.427], [0.292, 0.450, 0.427], [0.458, 0.560, 0.243], [0.458, 0.940, 0.243], [0.542, 0.060, 0.757], [0.542, 0.440, 0.757], [0.708, 0.550, 0.573], [0.708, 0.950, 0.573], [0.792, 0.050, 0.073], [0.792, 0.450, 0.073], [0.958, 0.560, 0.257], [0.958, 0.940, 0.257], [0.069, 0.750, 0.990], [0.190, 0.250, 0.686], [0.310, 0.750, 0.186], [0.431, 0.250, 0.490], [0.569, 0.750, 0.510], [0.690, 0.250, 0.814], [0.810, 0.750, 0.314], [0.931, 0.250, 0.010]]
}

=====

# 11
{
  "formula": "NdZn4Rh2",
  "functional": "PBE-GGA",
  "state": "optimized geometry",
  "crystal_system": "tetragonal",
  "e_form_mev_per_atom": -470,
  "total_energy_ev_per_fu": -27.86,
  "cell": [[7.690, 0.000, 0.000], [0.000, 7.690, 0.000], [0.000, 0.000, 4.091]],
  "species": ["Nd", "Nd", "Zn", "Zn", "Zn", "Zn", "Zn", "Zn", "Zn", "Zn", "Rh", "Rh", "Rh", "Rh"],
  "frac_coords": [[0.000, 0.000, 0.000], [0.500, 0.500, 0.500], [0.092, 0.349, 0.500], [0.151, 0.592, 0.000], [0.349, 0.092, 0.500], [0.408, 0.849, 0.000], [0.592, 0.151, 0.000], [0.651, 0.908, 0.500], [0.849, 0.408, 0.000], [0.908, 0.651, 0.500], [0.215, 0.785, 0.500], [0.285, 0.285, 0.000], [0.715, 0.715, 0.000], [0.785, 0.215, 0.500]]
}

=====

# 12
{
  "formula": "Nd2Zn2Rh",
  "functional": "PBE-GGA",
  "state": "optimized geometry",
  "crystal_system": "monoclinic",
  "e_form_mev_per_atom": -500,
  "total_energy_ev_per_fu": -21.93,
  "cell": [[5.430, -1.993, 0.000], [5.430, 1.993, 0.000], [-3.987, 0.000, 10.569]],
  "species": ["Nd", "Nd", "Nd", "Nd", "Zn", "Zn", "Zn", "Zn", "Rh", "Rh"],
  "frac_coords": [[0.003, 0.003, 0.339], [0.194, 0.194, 0.122], [0.806, 0.806, 0.878], [0.997, 0.997, 0.661], [0.325, 0.325, 0.452], [0.475, 0.475, 0.109], [0.525, 0.525, 0.891], [0.675, 0.675, 0.548], [0.302, 0.302, 0.689], [0.698, 0.698, 0.311]]
}

=====

# 13
{
  "formula": "NdZn10Rh2",
  "functional": "PBE-GGA",
  "state": "optimized geometry",
  "crystal_system": "orthorhombic",
  "e_form_mev_per_atom": -266,
  "total_energy_ev_per_fu": -35.67,
  "cell": [[0.000, 6.210, 6.235], [2.734, 0.000, 6.235], [2.734, 6.210, 0.000]],
  "species": ["Nd", "Zn", "Zn", "Zn", "Zn", "Zn", "Zn", "Zn", "Zn", "Zn", "Zn", "Rh", "Rh"],
  "frac_coords": [[0.000, 0.000, 0.000], [0.000, 0.000, 0.500], [0.010, 0.350, 0.650], [0.280, 0.499, 0.501], [0.350, 0.010, 0.990], [0.499, 0.280, 0.720], [0.500, 0.500, 0.000], [0.501, 0.720, 0.280], [0.650, 0.990, 0.010], [0.720, 0.501, 0.499], [0.990, 0.650, 0.350], [0.000, 0.500, 0.000], [0.500, 0.000, 0.500]]
}

=====

# 14
{
  "formula": "NdZnRh3",
  "functional": "PBE-GGA",
  "state": "optimized geometry",
  "crystal_system": "orthorhombic",
  "e_form_mev_per_atom": -31,
  "total_energy_ev_per_fu": -28.25,
  "cell": [[2.529, -8.429, 0.000], [2.529, 8.429, 0.000], [0.000, 0.000, 4.852]],
  "species": ["Nd", "Nd", "Zn", "Zn", "Rh", "Rh", "Rh", "Rh", "Rh", "Rh"],
  "frac_coords": [[0.084, 0.916, 0.750], [0.916, 0.084, 0.250], [0.360, 0.640, 0.750], [0.640, 0.360, 0.250], [0.036, 0.489, 0.250], [0.489, 0.036, 0.750], [0.500, 0.500, 0.000], [0.500, 0.500, 0.500], [0.511, 0.964, 0.250], [0.964, 0.511, 0.750]]
}

=====

# 15
{
  "formula": "Nd2Zn3Rh",
  "functional": "PBE-GGA",
  "state": "optimized geometry",
  "crystal_system": "orthorhombic",
  "e_form_mev_per_atom": -463,
  "total_energy_ev_per_fu": -23.49,
  "cell": [[0.000, 4.484, 7.674], [3.752, 0.000, 7.674], [3.752, 4.484, 0.000]],
  "species": ["Nd", "Nd", "Nd", "Nd", "Zn", "Zn", "Zn", "Zn", "Zn", "Zn", "Rh", "Rh"],
  "frac_coords": [[0.241, 0.759, 0.759], [0.250, 0.250, 0.250], [0.750, 0.750, 0.750], [0.759, 0.241, 0.241], [0.168, 0.665, 0.335], [0.332, 0.332, 0.668], [0.335, 0.832, 0.168], [0.665, 0.168, 0.832], [0.668, 0.668, 0.332], [0.832, 0.335, 0.665], [0.163, 0.163, 0.837], [0.837, 0.837, 0.163]]
}

=====

# 16
{
  "formula": "Nd7Zn2Rh2",
  "functional": "PBE-GGA",
  "state": "optimized geometry",
  "crystal_system": "orthorhombic",
  "e_form_mev_per_atom": -267,
  "total_energy_ev_per_fu": -53.56,
  "cell": [[3.954, -5.619, 0.000], [3.954, 5.619, 0.000], [0.000, 0.000, 7.257]],
  "species": ["Nd", "Nd", "Nd", "Nd", "Nd", "Nd", "Nd", "Zn", "Zn", "Rh", "Rh"],
  "frac_coords": [[0.000, 0.000, 0.000], [0.000, 0.500, 0.263], [0.000, 0.500, 0.737], [0.500, 0.000, 0.263], [0.500, 0.000, 0.737], [0.500, 0.500, 0.257], [0.500, 0.500, 0.743], [0.163, 0.163, 0.500], [0.837, 0.837, 0.500], [0.295, 0.705, 0.000], [0.705, 0.295, 0.000]]
}

=====

# 17
{
  "formula": "Nd6Zn2Rh",
  "functional": "PBE-GGA",
  "state": "optimized geometry",
  "crystal_system": "monoclinic",
  "e_form_mev_per_atom": -203,
  "total_energy_ev_per_fu": -40.33,
  "cell": [[6.815, 0.000, 0.000], [0.000, 7.514, 0.000], [-6.324, 0.000, 10.653]],
  "species": ["Nd", "Nd", "Nd", "Nd", "Nd", "Nd", "Nd", "Nd", "Nd", "Nd", "Nd", "Nd", "Zn", "Zn", "Zn", "Zn", "Rh", "Rh"],
  "frac_coords": [[0.118, 0.198, 0.444], [0.118, 0.302, 0.944], [0.263, 0.674, 0.442], [0.263, 0.826, 0.942], [0.378, 0.022, 0.246], [0.378, 0.478, 0.746], [0.622, 0.522, 0.254], [0.622, 0.978, 0.754], [0.737, 0.174, 0.058], [0.737, 0.326, 0.558], [0.882, 0.698, 0.056], [0.882, 0.802, 0.556], [0.173, 0.103, 0.737], [0.173, 0.397, 0.237], [0.827, 0.603, 0.763], [0.827, 0.897, 0.263], [0.500, 0.000, 0.500], [0.500, 0.500, 0.000]]
}

=====

# 18
{
  "formula": "Nd3Zn2Rh3",
  "functional": "PBE-GGA",
  "state": "optimized geometry",
  "crystal_system": "hexagonal",
  "e_form_mev_per_atom": -514,
  "total_energy_ev_per_fu": -43.01,
  "cell": [[8.260, 0.000, 0.000], [-4.130, 7.154, 0.000], [0.000, 0.000, 5.706]],
  "species": ["Nd", "Nd", "Nd", "Nd", "Nd", "Nd", "Zn", "Zn", "Zn", "Zn", "Rh", "Rh", "Rh", "Rh", "Rh", "Rh"],
  "frac_coords": [[0.000, 0.273, 0.250], [0.000, 0.727, 0.750], [0.273, 0.000, 0.250], [0.273, 0.273, 0.750], [0.727, 0.000, 0.750], [0.727, 0.727, 0.250], [0.333, 0.667, 0.000], [0.333, 0.667, 0.500], [0.667, 0.333, 0.000], [0.667, 0.333, 0.500], [0.000, 0.397, 0.750], [0.000, 0.603, 0.250], [0.397, 0.000, 0.750], [0.397, 0.397, 0.250], [0.603, 0.000, 0.250], [0.603, 0.603, 0.750]]
}